No. 1
Here is a relaxed K6Sr7 crystal from Alexandria. Energies are from GGA-PBE.

Output
* ΔE_f: 130 meV per atom

```
data_K6Sr7
_space_group_name_H-M_alt 'R -3 m'
_space_group_IT_number 166
_space_group_name_Hall '-R 3 2"'
_cell_length_a 8.2832
_cell_length_b 8.2832
_cell_length_c 43.6454
_cell_angle_alpha 90.00
_cell_angle_beta 90.00
_cell_angle_gamma 120.00
loop_
_atom_site_label
_atom_site_type_symbol
_atom_site_fract_x
_atom_site_fract_y
_atom_site_fract_z
_atom_site_occupancy
K1 K 0.0000 0.0000 0.0471 1
K2 K 0.0000 0.0000 0.1491 1
K3 K 0.0000 0.0000 0.3332 1
Sr1 Sr 0.0000 0.0000 0.5000 1
Sr2 Sr 0.9999 0.5000 0.0894 1
```

***

No. 2
Here is a relaxed BeSi2Ir crystal from Alexandria. Energies are from GGA-PBE.

Output
* final energy: -5.87 eV per atom

```
data_BeSi2Ir
_space_group_name_H-M_alt 'I m m m'
_space_group_IT_number 71
_space_group_name_Hall '-I 2 2'
_cell_length_a 3.587
_cell_length_b 3.976
_cell_length_c 7.024
_cell_angle_alpha 90.00
_cell_angle_beta 90.00
_cell_angle_gamma 90.00
loop_
_atom_site_label
_atom_site_type_symbol
_atom_site_fract_x
_atom_site_fract_y
_atom_site_fract_z
_atom_site_occupancy
Be1 Be 0.000 0.000 0.000 1
Si1 Si 0.000 0.500 0.258 1
Ir1 Ir 0.000 0.000 0.500 1
```

***

No. 3
Here is a relaxed La5Hg2Ir crystal from Alexandria. Energies are from GGA-PBE.

Output
* ΔE_f: -503 meV per atom

```
data_La5Hg2Ir
_space_group_name_H-M_alt 'P b a m'
_space_group_IT_number 55
_cell_length_a 8.399
_cell_length_b 12.175
_cell_length_c 4.907
_cell_angle_alpha 90.00
_cell_angle_beta 90.00
_cell_angle_gamma 90.00
loop_
_space_group_symop_operation_xyz
'x,y,z'
'-x,-y,-z'
'-x,-y,z'
'x,y,-z'
'x+1/2,-y+1/2,-z'
'-x+1/2,y+1/2,z'
'-x+1/2,y+1/2,-z'
'x+1/2,-y+1/2,z'
loop_
_atom_site_label
_atom_site_type_symbol
_atom_site_fract_x
_atom_site_fract_y
_atom_site_fract_z
_atom_site_occupancy
La1 La 0.000 0.000 0.000 1
La2 La 0.142 0.298 0.000 1
La3 La 0.182 0.574 0.500 1
Hg1 Hg 0.072 0.833 0.500 1
Ir1 Ir 0.000 0.500 0.000 1
```

***

No. 4
Here is a relaxed ThTiBe2Ge2 crystal from Alexandria. Energies are from GGA-PBE.

Output
* ΔE_f: -519 meV per atom

```
data_ThTiBe2Ge2
_space_group_name_H-M_alt 'P -3 m 1'
_space_group_IT_number 164
_space_group_name_Hall '-P 3 2"'
_cell_length_a 3.8551
_cell_length_b 3.8551
_cell_length_c 7.6622
_cell_angle_alpha 90.00
_cell_angle_beta 90.00
_cell_angle_gamma 120.00
loop_
_atom_site_label
_atom_site_type_symbol
_atom_site_fract_x
_atom_site_fract_y
_atom_site_fract_z
_atom_site_occupancy
Th1 Th 0.0000 0.0000 0.0000 1
Ti1 Ti 0.0000 0.0000 0.5000 1
Be1 Be 0.3333 0.6667 0.7080 1
Ge1 Ge 0.3333 0.6667 0.2847 1
```

***

No. 5
Here is a relaxed Sm3Y3Pu crystal from Alexandria. Energies are from GGA-PBE.

Output
* ΔE_f: 209 meV per atom

```
data_Sm3Y3Pu
_space_group_name_H-M_alt 'R -3'
_space_group_IT_number 148
_space_group_name_Hall '-R 3'
_cell_length_a 6.2131
_cell_length_b 6.2131
_cell_length_c 42.5866
_cell_angle_alpha 90.00
_cell_angle_beta 90.00
_cell_angle_gamma 120.00
loop_
_atom_site_label
_atom_site_type_symbol
_atom_site_fract_x
_atom_site_fract_y
_atom_site_fract_z
_atom_site_occupancy
Sm1 Sm 0.0000 0.3313 0.3685 1
Y1 Y 0.9999 0.3330 0.5635 1
Pu1 Pu 0.0000 0.0000 0.1666 1
```

***

No. 6
Here is a relaxed Ce5AlRu6 crystal from Alexandria. Energies are from GGA-PBE.

Output
* ΔE_f: -377 meV per atom
* energy above the lowest structure with this stoichiometry: 0.0000 eV/atom

```
data_Ce5AlRu6
_space_group_name_H-M_alt 'P -1'
_space_group_IT_number 2
_cell_length_a 4.322
_cell_length_b 7.173
_cell_length_c 8.284
_cell_angle_alpha 108.43
_cell_angle_beta 99.70
_cell_angle_gamma 97.02
loop_
_space_group_symop_operation_xyz
'x,y,z'
'-x,-y,-z'
loop_
_atom_site_label
_atom_site_type_symbol
_atom_site_fract_x
_atom_site_fract_y
_atom_site_fract_z
_atom_site_occupancy
Ce1 Ce 0.000 0.000 0.000 1
Ce2 Ce 0.351 0.861 0.662 1
Ce3 Ce 0.362 0.360 0.680 1
Al1 Al 0.000 0.500 0.000 1
Ru1 Ru 0.060 0.404 0.314 1
Ru2 Ru 0.183 0.857 0.267 1
Ru3 Ru 0.446 0.277 0.017 1
```